The following is a GGA+U calculation of V2FeSbO6 after structural relaxation, from the Alexandria database.

DFT total energy in eV for the cell shown: -70.824
Crystal system: triclinic

a = 5.3827 Å, b = 5.3879 Å, c = 5.5403 Å
α = 61.02°, β = 61.14°, γ = 60.61°
Closest atoms and distances in Å follow each position.
Atoms (fractional coordinates):
V1 0.0000 0.0000 0.0000  6 O 1.88-2.07
V2 0.4911 0.5114 0.5048  6 O 1.95-2.17
Fe1 0.2041 0.2156 0.3661  6 O 2.13-2.31
Sb1 0.7167 0.7028 0.8512  4 O 2.14-2.30
O1 0.1554 0.7791 0.7203  2 V 1.95-2.02
O2 0.2937 0.6428 0.2006  2 V 2.02-2.07, 1 Sb 2.21, 1 Fe 2.23
O3 0.3167 0.1678 0.7203  2 V 1.93-2.05
O4 0.6527 0.8892 0.2147  1 V 1.88
O5 0.7634 0.3598 0.7266  2 V 1.98-2.07, 1 Sb 2.14
O6 0.8749 0.3007 0.2022  2 V 2.07-2.14, 1 Fe 2.13, 1 Sb 2.21